1.
# CoIrAu

A relaxed CoIrAu crystal (PBE, the Alexandria database).

ΔE_f: 0.341 eV/atom
symmetry: Fmm2, No. 42

```
CoIrAu
1.0
-2.869 6.700 -0.836
-3.731 5.242 -2.975
-1.695 0.360 2.109
Ir Co Au
1 1 1
Cartesian
-3.269 4.077 0.209 Ir
-4.996 8.154 -1.875 Co
-1.725 0.430 2.072 Au
```

=====

2.
# Co2IrAu

A relaxed Co2IrAu crystal (PBE, the Alexandria database).

ΔE_f: 0.269 eV/atom
symmetry: I-4m2, No. 119

```
Co2IrAu
1.0
-0.573 3.497 3.106
2.412 -0.840 3.960
1.199 -0.072 -4.556
Co Ir Au
2 1 1
Cartesian
0.000 0.000 0.000 Co
2.265 0.208 1.468 Co
0.919 1.328 3.533 Ir
0.773 2.377 1.041 Au
```

=====

3.
# CoIrAu2

A relaxed CoIrAu2 crystal (PBE, the Alexandria database).

ΔE_f: 0.426 eV/atom
symmetry: Cmmm, No. 65

```
CoIrAu2
1.0
2.761 -0.006 0.000
-1.340 2.414 0.000
0.000 0.000 9.508
Au Ir Co
2 1 1
Cartesian
0.000 0.000 4.648 Au
0.000 0.000 0.106 Au
0.711 1.204 7.131 Ir
0.711 1.204 2.377 Co
```

=====

4.
# Co2IrAu

A relaxed Co2IrAu crystal (PBE, the Alexandria database).

ΔE_f: 0.288 eV/atom
symmetry: Imm2, No. 44

```
Co2IrAu
1.0
5.226 0.000 0.003
2.604 4.531 -0.003
-3.330 -3.277 2.342
Ir Au Co
1 1 2
Cartesian
3.732 2.159 0.000 Ir
2.978 -0.464 1.172 Au
0.192 0.111 0.000 Co
1.514 1.713 1.169 Co
```

=====

Number 1: Fermi-level density of states 3.81 states/eV/f.u.. Number 2: Fermi-level density of states 5.12 states/eV/f.u.. Number 3: Fermi-level density of states 5.37 states/eV/f.u.. Number 4: Fermi-level density of states 5.49 states/eV/f.u..